The following is a PBE with a Hubbard U calculation of a relaxed structure of Cs2PaMnO6, from Alexandria via LeMat-Bulk.

Cell: 5.6810 6.6506 6.6506 Å, 120.00 90.00 90.00°
Last column: magnetic moment on the atom in μB.
Atoms (fractional coordinates):
O 0.7759 0.1278 0.2556  -0.15
O 0.2241 0.8722 0.1278  -0.15
O 0.2241 0.8722 0.7444  -0.15
O 0.7759 0.1278 0.8722  -0.15
O 0.7759 0.7444 0.8722  -0.15
O 0.2241 0.2556 0.1278  -0.15
Cs 0.8634 0.6667 0.3333  -0.01
Cs 0.1366 0.3333 0.6667  -0.01
Mn 0.0000 0.0000 0.0000  3.06
Pa 0.5000 0.0000 0.0000  -0.07

Energy ... -69.11 eV for the cell shown
V ... 217.6 Å³/f.u.
Crystal system ... trigonal